Entry 1:
KCeGeO5, relaxed, DFT PBE; raw total energy = -106.8 eV/cell; ΔE_f (raw) = -2.121 eV/atom; mass density = 3964 kg/m3
1.0
3.7431 -4.9795 0.0000
3.7431 4.9795 0.0000
-3.2925 0.0000 7.4580
K Ce Ge O
2 2 2 10
Direct
0.1688 0.8312 0.7500
0.8312 0.1688 0.2500
0.5000 0.5000 0.0000
0.5000 0.5000 0.5000
0.1849 0.8151 0.2500
0.8151 0.1849 0.7500
0.1101 0.2609 0.8929
0.2024 0.6250 0.3805
0.2609 0.1101 0.3929
0.3750 0.7976 0.1195
0.4382 0.5618 0.7500
0.5618 0.4382 0.2500
0.6250 0.2024 0.8805
0.7391 0.8899 0.6071
0.7976 0.3750 0.6195
0.8899 0.7391 0.1071

Entry 2:
KCePrGeO6, relaxed, DFT PBE; raw total energy = -70.8 eV/cell; ΔE_f (raw) = -2.463 eV/atom; mass density = 5849 kg/m3
1.0
0.0000 4.1090 4.1090
4.1090 0.0000 4.1090
4.1090 4.1090 0.0000
K Ce Pr Ge O
1 1 1 1 6
Direct
0.0000 0.0000 0.0000
0.7500 0.7500 0.7500
0.5000 0.5000 0.5000
0.2500 0.2500 0.2500
0.0176 0.0176 0.4824
0.0176 0.4824 0.0176
0.0176 0.4824 0.4824
0.4824 0.0176 0.0176
0.4824 0.0176 0.4824
0.4824 0.4824 0.0176

Entry 3:
K2CeGeS5, relaxed, DFT PBE; raw total energy = -87.1 eV/cell; ΔE_f (raw) = -1.132 eV/atom; mass density = 2866 kg/m3
1.0
1.9903 -9.5671 0.0000
1.9903 9.5671 0.0000
0.0000 0.0000 13.7291
K Ce Ge S
4 2 2 10
Direct
0.1182 0.8818 0.5000
0.1250 0.8750 0.1590
0.8750 0.1250 0.6590
0.8818 0.1182 0.0000
0.2065 0.7935 0.8623
0.7935 0.2065 0.3623
0.4354 0.5646 0.2390
0.5646 0.4354 0.7390
0.0487 0.9513 0.8387
0.3051 0.6949 0.4896
0.3195 0.6805 0.2145
0.3353 0.6647 0.8322
0.4953 0.5047 0.1084
0.5047 0.4953 0.6084
0.6647 0.3353 0.3322
0.6805 0.3195 0.7145
0.6949 0.3051 0.9896
0.9513 0.0487 0.3387

Among the records above, which one has the highest raw total energy? KCePrGeO6

The highest ΔE_f (raw) belongs to which entry? K2CeGeS5

Among the records above, which one has the lowest raw total energy? KCeGeO5